A relaxed structure of KTbSc4S8. Source: the Alexandria database, functional PBE.

**SG**: R3m, No. 160
**E_form (uncorrected)**: -1776 meV/atom
**Electronic total energy**: -88.9 eV/cell

Lattice parameters (Å, degrees): 8.0063 8.0063 8.0063 58.23 58.23 58.23
Element x y z (fractional)
K 0.0000 0.0000 0.0000
Tb 0.6376 0.6376 0.6376
Sc 0.1171 0.6379 0.6379
Sc 0.2601 0.2601 0.2601
Sc 0.6379 0.1171 0.6379
Sc 0.6379 0.6379 0.1171
S 0.3852 0.3852 0.8689
S 0.3852 0.8689 0.3852
S 0.3902 0.3902 0.3902
S 0.4329 0.8764 0.8764
S 0.8618 0.8618 0.8618
S 0.8689 0.3852 0.3852
S 0.8764 0.4329 0.8764
S 0.8764 0.8764 0.4329